This record from Alexandria via LeMat-Bulk describes a relaxed structure of Co5Ir. The functional is GGA-PBE.

Geometry as extended XYZ:
```
6
Lattice="3.591 0.000 0.000 -1.795 4.020 0.130 0.000 -1.777 4.792" Properties=species:S:1:pos:R:3 pbc="T T T"
Co 0.000 1.358 2.961
Co 1.795 0.635 1.414
Co 1.795 -0.255 3.722
Co 1.795 3.006 2.252
Co 0.000 2.248 0.653
Ir 1.795 2.118 4.648
```

Calculated values
* space group: C2/m (12)
* final energy: -7.36 eV per atom
* polymorph energy (0 for the lowest one): 0.20 eV per formula unit
* DOS at the Fermi energy: 1.52 states/eV per atom
* energy relative to the elements: 0.040 eV per atom

=====

This record from Alexandria via LeMat-Bulk describes a relaxed structure of CoIr2. The functional is GGA-PBE.

Geometry as extended XYZ:
```
6
Lattice="10.508 0.058 5.083 8.388 1.106 8.042 -9.672 -2.400 -6.079" Properties=species:S:1:pos:R:3 pbc="T T T"
Co 5.142 -0.880 2.783
Co 0.000 0.000 0.000
Ir 8.006 0.493 5.560
Ir 10.890 0.671 7.564
Ir 2.640 -0.445 3.261
Ir 5.525 -0.267 5.264
```

Calculated values
* space group: I4_1/amd (141)
* final energy: -8.09 eV per atom
* DOS at the Fermi energy: 1.34 states/eV per atom
* energy relative to the elements: 0.191 eV per atom

=====

This record from Alexandria via LeMat-Bulk describes a relaxed structure of Co7Ir3. The functional is GGA-PBE.

Geometry as extended XYZ:
```
10
Lattice="3.654 0.000 0.000 0.000 5.144 0.143 -1.827 -1.528 6.384" Properties=species:S:1:pos:R:3 pbc="T T T"
Co 0.000 2.572 0.071
Co 1.827 3.736 3.959
Co 0.000 -0.121 2.567
Co 1.827 1.247 1.290
Co 0.000 2.368 5.236
Co 1.827 3.819 1.376
Co 0.000 -0.204 5.150
Ir 0.000 0.000 0.000
Ir 1.827 1.111 3.916
Ir 0.000 2.505 2.610
```

Calculated values
* space group: C2/m (12)
* final energy: -7.58 eV per atom
* polymorph energy (0 for the lowest one): 0.12 eV per formula unit
* DOS at the Fermi energy: 1.67 states/eV per atom
* energy relative to the elements: 0.049 eV per atom

=====

This record from Alexandria via LeMat-Bulk describes a relaxed structure of CoIr. The functional is GGA-PBE.

Geometry as extended XYZ:
```
32
Lattice="9.526 0.000 0.000 0.000 10.421 0.000 0.000 0.000 7.620" Properties=species:S:1:pos:R:3 pbc="T T T"
Co 6.379 0.000 0.000
Co 3.147 0.000 0.000
Co 5.528 7.816 1.905
Co 8.761 7.816 1.905
Co 6.379 5.210 3.810
Co 3.147 5.210 3.810
Co 5.528 2.605 5.715
Co 8.761 2.605 5.715
Co 1.616 0.000 3.810
Co 7.910 0.000 3.810
Co 0.765 7.816 5.715
Co 3.998 7.816 5.715
Co 1.616 5.210 0.000
Co 7.910 5.210 0.000
Co 0.765 2.605 1.905
Co 3.998 2.605 1.905
Ir 0.000 6.814 0.000
Ir 0.000 3.607 0.000
Ir 2.382 1.001 1.905
Ir 2.382 4.209 1.905
Ir 0.000 1.604 3.810
Ir 0.000 8.817 3.810
Ir 2.382 6.212 5.715
Ir 2.382 9.420 5.715
Ir 4.763 6.814 3.810
Ir 4.763 3.607 3.810
Ir 7.145 1.001 5.715
Ir 7.145 4.209 5.715
Ir 4.763 1.604 0.000
Ir 4.763 8.817 0.000
Ir 7.145 6.212 1.905
Ir 7.145 9.420 1.905
```

Calculated values
* space group: Fddd (70)
* final energy: -6.66 eV per atom
* DOS at the Fermi energy: 0.94 states/eV per atom
* energy relative to the elements: 1.326 eV per atom

=====

This record from Alexandria via LeMat-Bulk describes a relaxed structure of Co5Ir. The functional is GGA-PBE.

Geometry as extended XYZ:
```
6
Lattice="-1.847 2.522 1.811 0.818 -1.632 3.107 4.042 3.793 -1.161" Properties=species:S:1:pos:R:3 pbc="T T T"
Ir 0.000 0.000 0.000
Co 2.409 2.401 2.717
Co 1.929 0.201 1.687
Co -0.515 0.445 2.459
Co 2.930 1.960 0.258
Co 0.603 2.282 1.040
```

Calculated values
* space group: Cmmm (65)
* final energy: -7.36 eV per atom
* polymorph energy (0 for the lowest one): 0.19 eV per formula unit
* DOS at the Fermi energy: 1.35 states/eV per atom
* energy relative to the elements: 0.038 eV per atom

=====

This record from Alexandria via LeMat-Bulk describes a relaxed structure of Co5Ir3. The functional is GGA-PBE.

Geometry as extended XYZ:
```
8
Lattice="-0.736 -0.219 -3.598 1.887 -4.807 -0.093 -4.744 -1.739 1.076" Properties=species:S:1:pos:R:3 pbc="T T T"
Co -2.740 -0.979 -1.261
Co 0.576 -2.513 -1.845
Co -0.368 -0.110 -1.799
Co -0.699 -1.603 0.241
Co -2.893 -5.163 -2.855
Ir 0.263 -4.056 0.193
Ir -3.119 -2.490 0.790
Ir -1.796 -3.383 -1.307
```

Calculated values
* space group: Cmmm (65)
* final energy: -7.72 eV per atom
* polymorph energy (0 for the lowest one): 0.24 eV per formula unit
* DOS at the Fermi energy: 1.46 states/eV per atom
* energy relative to the elements: 0.047 eV per atom

=====

This record from Alexandria via LeMat-Bulk describes a relaxed structure of CoIr. The functional is GGA-PBE.

Geometry as extended XYZ:
```
8
Lattice="-2.957 4.564 -3.315 -5.641 -2.432 1.684 -0.034 2.168 3.016" Properties=species:S:1:pos:R:3 pbc="T T T"
Co -4.783 -0.196 0.087
Co -7.063 2.832 0.172
Co -1.569 1.469 1.214
Co -3.814 2.329 -1.718
Ir -2.798 0.694 -0.531
Ir -3.443 4.427 -0.934
Ir -5.189 -0.126 2.319
Ir -5.800 1.439 -1.100
```

Calculated values
* space group: P4_2/mnm (136)
* final energy: -6.85 eV per atom
* DOS at the Fermi energy: 0.71 states/eV per atom
* energy relative to the elements: 1.133 eV per atom

=====

This record from Alexandria via LeMat-Bulk describes a relaxed structure of CoIr. The functional is GGA-PBE.

Geometry as extended XYZ:
```
4
Lattice="-2.833 -2.434 0.478 2.154 -0.200 -3.082 2.925 -2.966 2.237" Properties=species:S:1:pos:R:3 pbc="T T T"
Co 0.000 0.000 0.000
Co 1.463 -1.483 1.118
Ir 1.223 -1.686 -1.336
Ir 1.023 -3.914 0.969
```

Calculated values
* space group: P6_3/mmc (194)
* final energy: -7.31 eV per atom
* DOS at the Fermi energy: 1.83 states/eV per atom
* energy relative to the elements: 0.672 eV per atom

=====

This record from Alexandria via LeMat-Bulk describes a relaxed structure of Co5Ir2. The functional is GGA-PBE.

Geometry as extended XYZ:
```
7
Lattice="3.624 0.000 0.000 -1.812 4.027 -0.546 0.000 -0.038 5.763" Properties=species:S:1:pos:R:3 pbc="T T T"
Co 0.000 2.852 0.036
Co 1.812 1.137 5.180
Co 0.000 1.708 3.465
Co 1.812 -0.019 2.881
Co 1.812 2.282 1.751
Ir 0.000 0.576 1.179
Ir 1.812 3.413 4.038
```

Calculated values
* space group: C2/m (12)
* final energy: -7.56 eV per atom
* DOS at the Fermi energy: 1.77 states/eV per atom
* energy relative to the elements: 0.046 eV per atom

=====

This record from Alexandria via LeMat-Bulk describes a relaxed structure of CoIr. The functional is GGA-PBE.

Geometry as extended XYZ:
```
16
Lattice="7.201 0.000 0.000 0.000 6.221 0.000 0.000 0.000 4.597" Properties=species:S:1:pos:R:3 pbc="T T T"
Co 0.000 0.000 0.000
Co 0.000 0.000 2.298
Co 3.601 3.110 0.000
Co 3.601 3.110 2.298
Co 0.000 2.156 1.149
Co 0.000 4.065 3.448
Co 3.601 5.266 1.149
Co 3.601 0.955 3.448
Ir 2.249 1.090 1.149
Ir 2.249 5.131 3.448
Ir 4.953 1.090 1.149
Ir 4.953 5.131 3.448
Ir 5.849 4.201 1.149
Ir 5.849 2.020 3.448
Ir 1.352 4.201 1.149
Ir 1.352 2.020 3.448
```

Calculated values
* space group: Cmcm (63)
* final energy: -7.82 eV per atom
* DOS at the Fermi energy: 1.46 states/eV per atom
* energy relative to the elements: 0.165 eV per atom

=====

This record from Alexandria via LeMat-Bulk describes a relaxed structure of CoIr. The functional is GGA-PBE.

Geometry as extended XYZ:
```
16
Lattice="7.179 0.000 0.000 0.000 7.179 0.000 0.000 0.000 7.179" Properties=species:S:1:pos:R:3 pbc="T T T"
Co 1.152 1.152 1.152
Co 1.152 6.027 6.027
Co 6.027 1.152 6.027
Co 6.027 6.027 1.152
Co 4.741 4.741 4.741
Co 4.741 2.438 2.438
Co 2.438 4.741 2.438
Co 2.438 2.438 4.741
Ir 2.467 2.467 2.467
Ir 2.467 4.712 4.712
Ir 4.712 2.467 4.712
Ir 4.712 4.712 2.467
Ir 6.056 6.056 6.056
Ir 6.056 1.123 1.123
Ir 1.123 6.056 1.123
Ir 1.123 1.123 6.056
```

Calculated values
* space group: I-43m (217)
* final energy: -6.67 eV per atom
* DOS at the Fermi energy: 1.17 states/eV per atom
* energy relative to the elements: 1.313 eV per atom

=====

This record from Alexandria via LeMat-Bulk describes a relaxed structure of CoIr2. The functional is GGA-PBE.

Geometry as extended XYZ:
```
6
Lattice="-2.710 2.573 -4.680 -0.826 -3.773 4.577 -1.044 2.888 2.192" Properties=species:S:1:pos:R:3 pbc="T T T"
Co -2.819 2.780 -3.382
Co -1.762 -1.092 5.471
Ir -2.183 0.639 -0.258
Ir -2.398 1.049 2.347
Ir -1.555 -1.475 2.827
Ir -3.025 3.163 -0.737
```

Calculated values
* space group: Cmcm (63)
* final energy: -8.25 eV per atom
* DOS at the Fermi energy: 1.27 states/eV per atom
* energy relative to the elements: 0.025 eV per atom

=====

This record from Alexandria via LeMat-Bulk describes a relaxed structure of CoIr2. The functional is GGA-PBE.

Geometry as extended XYZ:
```
6
Lattice="4.236 1.032 0.216 2.816 3.328 0.216 3.538 2.187 7.632" Properties=species:S:1:pos:R:3 pbc="T T T"
Co 5.471 4.968 5.940
Co 5.120 1.579 2.124
Ir 4.563 2.820 6.975
Ir 7.797 4.819 4.904
Ir 6.028 3.726 1.088
Ir 2.793 1.727 3.159
```

Calculated values
* space group: Immm (71)
* final energy: -8.11 eV per atom
* DOS at the Fermi energy: 1.20 states/eV per atom
* energy relative to the elements: 0.169 eV per atom

=====

This record from Alexandria via LeMat-Bulk describes a relaxed structure of CoIr. The functional is GGA-PBE.

Geometry as extended XYZ:
```
4
Lattice="4.566 0.000 0.000 1.613 4.272 0.000 -3.089 -2.136 2.596" Properties=species:S:1:pos:R:3 pbc="T T T"
Ir 0.806 2.136 1.298
Ir 3.089 2.136 0.000
Co 0.000 0.000 0.000
Co 2.283 0.000 1.298
```

Calculated values
* space group: I4_1/amd (141)
* final energy: -7.98 eV per atom
* DOS at the Fermi energy: 1.36 states/eV per atom
* energy relative to the elements: 0.007 eV per atom

=====

This record from Alexandria via LeMat-Bulk describes a relaxed structure of CoIr. The functional is GGA-PBE.

Geometry as extended XYZ:
```
16
Lattice="-3.834 -7.439 6.904 5.236 -7.772 -5.467 2.041 0.329 1.487" Properties=species:S:1:pos:R:3 pbc="T T T"
Co 2.448 -8.838 -1.406
Co -1.046 -6.373 2.844
Co 1.147 -4.882 -0.495
Co 0.255 -10.329 1.932
Co -1.066 -8.507 5.523
Co 4.509 -6.375 -2.598
Co 2.868 -12.323 0.968
Co 0.575 -2.559 1.957
Ir -0.230 -4.764 1.369
Ir 1.632 -10.446 0.069
Ir -0.874 -8.670 3.115
Ir 2.276 -6.541 -1.678
Ir 1.491 -12.205 2.831
Ir 1.952 -2.677 0.094
Ir 4.681 -8.672 -2.326
Ir -1.238 -6.210 5.251
```

Calculated values
* space group: I4/m (87)
* final energy: -7.04 eV per atom
* DOS at the Fermi energy: 1.43 states/eV per atom
* energy relative to the elements: 0.938 eV per atom

=====

This record from Alexandria via LeMat-Bulk describes a relaxed structure of Co5Ir. The functional is GGA-PBE.

Geometry as extended XYZ:
```
12
Lattice="-1.303 -3.258 0.753 3.132 -0.321 4.031 -5.356 3.162 4.412" Properties=species:S:1:pos:R:3 pbc="T T T"
Co -1.927 -1.693 2.169
Co -1.601 1.276 7.027
Co 0.187 0.231 5.600
Co -5.538 0.428 5.098
Co -3.715 -0.648 3.597
Co 2.010 -0.845 4.098
Co -1.410 0.384 3.499
Co -3.898 0.250 7.165
Co -2.118 -0.801 5.698
Co 0.370 -0.667 2.032
Ir -0.357 -1.854 4.190
Ir -3.170 1.437 5.007
```

Calculated values
* space group: Pmmn (59)
* final energy: -7.36 eV per atom
* polymorph energy (0 for the lowest one): 0.20 eV per formula unit
* DOS at the Fermi energy: 1.50 states/eV per atom
* energy relative to the elements: 0.041 eV per atom

=====

This record from Alexandria via LeMat-Bulk describes a relaxed structure of CoIr2. The functional is GGA-PBE.

Geometry as extended XYZ:
```
3
Lattice="-4.771 1.574 -2.956 -3.894 -2.032 -3.833 3.240 -0.386 4.831" Properties=species:S:1:pos:R:3 pbc="T T T"
Ir -2.931 -0.155 -2.297
Ir -5.734 -0.303 -4.493
Co 0.000 0.000 0.000
```

Calculated values
* space group: I4/mmm (139)
* final energy: -8.24 eV per atom
* DOS at the Fermi energy: 1.36 states/eV per atom
* energy relative to the elements: 0.037 eV per atom

=====

This record from Alexandria via LeMat-Bulk describes a relaxed structure of CoIr. The functional is GGA-PBE.

Geometry as extended XYZ:
```
6
Lattice="4.974 0.002 0.002 4.251 2.582 0.002 -7.701 -2.157 6.024" Properties=species:S:1:pos:R:3 pbc="T T T"
Co 9.197 2.576 0.007
Co -4.515 -1.265 4.366
Co 3.585 1.004 1.991
Ir -2.036 -0.570 4.018
Ir 1.066 0.298 2.353
Ir 6.768 1.896 0.326
```

Calculated values
* space group: Cm (8)
* final energy: -7.96 eV per atom
* DOS at the Fermi energy: 1.35 states/eV per atom
* energy relative to the elements: 0.020 eV per atom

=====

This record from Alexandria via LeMat-Bulk describes a relaxed structure of Co5Ir3. The functional is GGA-PBE.

Geometry as extended XYZ:
```
16
Lattice="-0.751 -5.578 4.653 -2.930 -6.287 -2.282 4.088 -1.494 -1.132" Properties=species:S:1:pos:R:3 pbc="T T T"
Ir 1.438 -6.984 1.011
Ir -1.030 -6.375 0.228
Ir -0.166 -9.655 -1.256
Ir -0.909 -8.485 3.450
Ir 0.574 -3.705 2.495
Ir 1.316 -4.875 -2.211
Co -0.161 -6.092 2.996
Co 0.568 -7.267 -1.756
Co 0.873 -1.479 0.639
Co 2.485 -2.367 -1.301
Co 1.634 -9.404 0.449
Co -0.410 -8.657 1.015
Co -1.227 -3.955 0.790
Co 0.817 -4.702 0.224
Co -0.466 -11.880 0.600
Co -2.078 -10.993 2.540
```

Calculated values
* space group: P6_3/mcm (193)
* final energy: -7.49 eV per atom
* polymorph energy (0 for the lowest one): 2.08 eV per formula unit
* DOS at the Fermi energy: 1.64 states/eV per atom
* energy relative to the elements: 0.277 eV per atom

=====

This record from Alexandria via LeMat-Bulk describes a relaxed structure of CoIr2. The functional is GGA-PBE.

Geometry as extended XYZ:
```
3
Lattice="-0.171 1.335 -2.344 -0.855 -3.177 -1.747 -3.345 1.594 2.710" Properties=species:S:1:pos:R:3 pbc="T T T"
Co 0.000 0.000 0.000
Ir -1.780 -0.700 -1.828
Ir -2.591 0.452 0.446
```

Calculated values
* space group: Immm (71)
* final energy: -8.26 eV per atom
* DOS at the Fermi energy: 1.26 states/eV per atom
* energy relative to the elements: 0.011 eV per atom